# 1
First-principles (PBE-GGA) data for an optimized crystal structure of Cr2PRu, as listed in Alexandria.

Cell and atoms, written as extended XYZ:
```
4
Lattice="-3.3037 0.1763 3.5517 -3.2810 -3.5699 0.2247 4.7133 1.1552 0.1026" Properties=species:S:1:pos:R:3 pbc="T T T"
Cr -0.0111 -0.0057 0.0064
Cr -0.7435 -0.0807 2.6578
P -3.3176 -1.7098 1.9027
Ru -1.0916 -2.1390 1.2004
```

Summary:
The space group is Imm2, No. 44. The calculation puts the calculated total energy at -34.5 eV/f.u. The value obtained for the formation energy is -152.7 meV/atom. The total magnetic moment comes out at 0.1 Bohr magnetons per cell. As for the density of states at the Fermi level: 0.92 states/eV per atom.


# 2
First-principles (PBE-GGA) data for an optimized crystal structure of Zn2AsPH, as listed in Alexandria.

Cell and atoms, written as extended XYZ:
```
5
Lattice="-1.5644 3.3932 2.9732 -2.9830 -3.1388 2.0127 2.4596 -0.8706 2.2878" Properties=species:S:1:pos:R:3 pbc="T T T"
Zn 0.7605 -2.3665 3.1010
Zn -1.5130 -2.2394 5.5941
As -0.8502 -0.3768 3.8171
P 0.2203 -0.0780 0.2050
H -1.7520 -3.5745 3.1576
```

Summary:
The space group is P4mm, No. 99. The calculation puts the calculated total energy at -15.2 eV/f.u. The total magnetic moment comes out at 0.0 Bohr magnetons per cell. As for the density of states at the Fermi level: 0.29 states/eV per atom.


# 3
First-principles (PBE-GGA) data for an optimized crystal structure of BaTa2Pt, as listed in Alexandria.

Cell and atoms, written as extended XYZ:
```
4
Lattice="-1.8029 -0.9140 5.5895 -2.5156 -2.7271 -4.6436 1.9101 -2.1988 0.2565" Properties=species:S:1:pos:R:3 pbc="T T T"
Ba 0.0536 -1.5564 2.9230
Pt -0.3028 -2.4629 -2.1935
Ta 0.0000 0.0000 0.0000
Ta -2.1592 -1.8206 0.4730
```

Summary:
The space group is Cmmm, No. 65. The calculation puts the calculated total energy at -28.2 eV/f.u. The value obtained for the formation energy is 876.6 meV/atom. The total magnetic moment comes out at 0.0 Bohr magnetons per cell. The relative energy among the computed polymorphs comes out at 744.7 meV/atom. As for the density of states at the Fermi level: 1.06 states/eV per atom.


# 4
First-principles (PBE-GGA) data for an optimized crystal structure of Ac3Sm7Ho2, as listed in Alexandria.

Cell and atoms, written as extended XYZ:
```
12
Lattice="2.9663 -19.7565 0.0000 2.9663 19.7565 0.0000 0.0000 0.0000 3.7188" Properties=species:S:1:pos:R:3 pbc="T T T"
Ac 2.9663 0.0000 1.8594
Ac 2.9663 12.4947 0.0000
Ac 2.9663 -12.4947 0.0000
Sm 2.9663 -9.0918 1.8594
Sm 2.9663 9.0918 1.8594
Sm 2.9663 -2.9508 0.0000
Sm 0.0000 0.0000 0.0000
Sm 2.9663 2.9508 0.0000
Sm 2.9663 -16.1944 1.8594
Sm 2.9663 16.1944 1.8594
Ho 2.9663 -5.7869 1.8594
Ho 2.9663 5.7869 1.8594
```

Summary:
The space group is Cmmm, No. 65. The calculation puts the calculated total energy at -53.0 eV/f.u. The value obtained for the formation energy is 125.0 meV/atom. The total magnetic moment comes out at 0.0 Bohr magnetons per cell. As for the density of states at the Fermi level: 1.61 states/eV per atom.